The following is a DFT calculation (PBE with a Hubbard U) of BeInMoF6 after structural relaxation.

Properties
- space group = P312 (149)
- calculated total energy (eV per atom) = -5.234
- M_tot (Bohr magnetons per cell) = 3.0

POSCAR file:
```
BeInMoF6
1.0
5.228 0.000 0.000
-2.614 4.527 0.000
0.000 0.000 6.042
Be In Mo F
1 1 1 6
Cartesian
0.000 0.000 0.000 Be
0.000 3.018 3.021 In
2.614 1.509 0.000 Mo
1.478 0.059 1.023 F
0.790 1.250 5.019 F
3.750 0.059 5.019 F
1.926 3.218 1.023 F
4.437 1.250 1.023 F
3.302 3.218 5.019 F
```